A relaxed structure of Li3MnCoO5, computed with PBE+U.

Calculated values
Polymorph energy (0 for the lowest one) (meV/atom): 27
Crystal system: triclinic
Theoretical density (Mg/m³): 4.01
DFT total energy (eV per atom): -5.935

```
Li3MnCoO5
1.0
-4.900 0.551 0.954
-0.821 -0.787 4.981
-1.347 7.395 1.791
Mn O Li Co
2 10 6 2
Cartesian
-4.845 5.428 6.977
-2.177 6.587 6.763
-1.560 0.878 4.326
-3.313 4.591 2.705
-3.731 1.574 2.103
-2.791 7.323 3.097
-5.684 7.122 6.368
-5.404 6.307 3.360
-5.940 4.410 5.787
-0.959 2.729 1.931
-3.427 5.598 5.664
-3.852 2.564 5.043
-2.365 2.813 3.493
-4.638 4.386 4.239
-1.987 5.490 3.999
-1.788 4.552 1.277
-2.856 -0.111 2.963
-5.094 1.604 3.715
-3.081 1.037 5.703
-4.507 3.435 1.552
```